# AcTi2O6 | Alexandria via LeMat-Bulk | PBE-GGA | optimized geometry
# E_form (uncorrected) in eV per formula unit: -26.49
# Total DFT energy (no corrections) in Ha/atom: -0.3109
# Total magnetization in μB/f.u.: 0.80
data_AcTi2O6
_chemical_formula_sum 'Ac1 Ti2 O6'
_cell_length_a 5.2294
_cell_length_b 5.2294
_cell_length_c 5.2750
_cell_angle_alpha 90.00
_cell_angle_beta 90.00
_cell_angle_gamma 120.00
_symmetry_space_group_name_H-M 'P -3 1 m'
_symmetry_Int_Tables_number 162
_symmetry_space_group_name_Hall '-P 3 2'
loop_
_atom_site_label
_atom_site_type_symbol
_atom_site_fract_x
_atom_site_fract_y
_atom_site_fract_z
Ac1 Ac 0.0000 0.0000 0.0000
Ti1 Ti 0.3333 0.6667 0.5000
O1 O 0.0000 0.3820 0.7086